# 1
This record from Alexandria describes a relaxed structure of CdGeAs2Pd. The functional is PBE.

energy of formation: 0.9409 eV/atom

Lattice parameters (Å, degrees): 5.0751 5.0751 5.0303 90.00 90.00 90.00
Space group P4/mmm (No. 123)
Symmetry-distinct sites (fractional):
Cd 0.0000 0.0000 0.0000
Ge 0.5000 0.5000 0.5000
As 0.0000 0.5000 0.0000
Pd 0.0000 0.0000 0.5000

***

# 2
This record from Alexandria describes a relaxed structure of CdGe2AsS. The functional is PBE.

ΔE_f (raw): 1044 meV/atom

Lattice parameters (Å, degrees): 5.2055 5.2055 5.0427 90.00 90.00 90.00
Space group P4/mmm (No. 123)
Symmetry-distinct sites (fractional):
Cd 0.0000 0.0000 0.0000
Ge 0.0000 0.5000 0.0000
As 0.0000 0.0000 0.5000
S 0.5000 0.5000 0.5000

***

# 3
This record from Alexandria describes a relaxed structure of CdGeAs2S. The functional is PBE.

ΔE_f (raw): 570 meV/atom

Lattice parameters (Å, degrees): 4.8532 4.8532 4.9598 90.00 90.00 90.00
Space group P4/mmm (No. 123)
Symmetry-distinct sites (fractional):
Cd 0.0000 0.0000 0.0000
Ge 0.5000 0.5000 0.0000
As 0.0000 0.5000 0.5000
S 0.5000 0.5000 0.5000

***

# 4
This record from Alexandria describes a relaxed structure of CdGeAs2Se. The functional is PBE.

ΔE_f (raw): 899 meV/atom
energy above the most stable polymorph in this dataset: 324.3 meV per atom

Lattice parameters (Å, degrees): 5.0914 5.0914 5.2875 90.00 90.00 90.00
Space group P4/mmm (No. 123)
Symmetry-distinct sites (fractional):
Cd 0.0000 0.0000 0.0000
Ge 0.5000 0.5000 0.5000
As 0.0000 0.5000 0.0000
Se 0.0000 0.0000 0.5000

***

# 5
This record from Alexandria describes a relaxed structure of CdGeAs2Se. The functional is PBE.

ΔE_f (raw): 575 meV/atom
energy above the most stable polymorph in this dataset: 0.0 meV per atom

Lattice parameters (Å, degrees): 5.0057 5.0057 5.0043 90.00 90.00 90.00
Space group P4/mmm (No. 123)
Symmetry-distinct sites (fractional):
Cd 0.0000 0.0000 0.0000
Ge 0.5000 0.5000 0.5000
As 0.0000 0.5000 0.5000
Se 0.5000 0.5000 0.0000

***

# 6
This record from Alexandria describes a relaxed structure of CdGeTe2As. The functional is PBE.

ΔE_f (raw): 491 meV/atom

Lattice parameters (Å, degrees): 5.5525 5.5525 4.8255 90.00 90.00 90.00
Space group P4/mmm (No. 123)
Symmetry-distinct sites (fractional):
Cd 0.0000 0.0000 0.0000
Ge 0.5000 0.5000 0.5000
Te 0.0000 0.5000 0.5000
As 0.5000 0.5000 0.0000

***

# 7
This record from Alexandria describes a relaxed structure of Cd2AsH. The functional is PBE.

energy above the most stable polymorph in this dataset: 126.4 meV per atom

Lattice parameters (Å, degrees): 10.9880 5.5571 5.5532 90.00 117.42 90.00
Space group C2/m (No. 12)
Symmetry-distinct sites (fractional):
Cd 0.0859 0.0000 0.3213
Cd 0.1644 0.5000 0.9101
As 0.1251 0.5000 0.3714
H 0.1236 0.0000 0.9085

***

# 8
This record from Alexandria describes a relaxed structure of Cd2AsH. The functional is PBE.

energy above the most stable polymorph in this dataset: 308.3 meV per atom

Lattice parameters (Å, degrees): 6.6000 6.6000 6.6000 90.00 90.00 90.00
Space group Fm-3m (No. 225)
Symmetry-distinct sites (fractional):
Cd 0.2500 0.2500 0.2500
As 0.0000 0.0000 0.0000
H 0.0000 0.0000 0.5000

***

Theoretical density values, unit Mg/m³, following the record order: 5.7; 4.4; 5.2; 5.0; 5.5; 5.8; 6.6; 6.9.
Total energy values, unit eV for the cell shown, following the record order: -15.3; -13.7; -16.1; -13.8; -15.4; -14.0; -36.3; -33.3.